Record 1
Entry from Alexandria: YUF6 after structural relaxation (GGA-PBE).

Summary:
As for the crystal system: monoclinic. The space group is C2/m, No. 12. As for the uncorrected energy: -7.2456 eV/atom. As for the uncorrected formation energy: -3.623 eV per atom.

Geometry as extended XYZ:
```
8
Lattice="2.897 -4.300 0.000 2.897 4.300 0.000 -1.084 0.000 5.719" Properties=species:S:1:pos:R:3 pbc="T T T"
Y 0.000 0.000 0.000
U 2.355 0.000 2.859
F 1.014 1.349 1.450
F 0.709 0.000 4.468
F 1.014 -1.349 1.450
F 3.697 1.349 4.269
F 4.002 0.000 1.251
F 3.697 -1.349 4.269
```

Record 2
Entry from Alexandria: UZn2F8 after structural relaxation (GGA-PBE).

Summary:
As for the crystal system: monoclinic. The space group is C2/m, No. 12. As for the uncorrected energy: -5.4135 eV/atom. As for the uncorrected formation energy: -2.795 eV per atom.

Geometry as extended XYZ:
```
11
Lattice="5.213 -2.746 0.000 5.213 2.746 0.000 -1.420 0.000 5.086" Properties=species:S:1:pos:R:3 pbc="T T T"
U 0.000 0.000 0.000
Zn 2.889 0.000 2.464
Zn 6.118 0.000 2.622
F 2.351 1.500 3.741
F 0.071 0.000 3.658
F 6.656 1.500 1.345
F 4.405 0.000 1.230
F 4.601 0.000 3.856
F 2.351 -1.500 3.741
F 8.935 0.000 1.428
F 6.656 -1.500 1.345
```

Record 3
Entry from Alexandria: Zr2UF11 after structural relaxation (GGA-PBE).

Summary:
As for the crystal system: orthorhombic. The space group is Ibam, No. 72. As for the uncorrected energy: -7.1209 eV/atom. As for the uncorrected formation energy: -3.623 eV per atom.

Geometry as extended XYZ:
```
28
Lattice="-3.950 5.106 5.543 3.950 -5.106 5.543 3.950 5.106 -5.543" Properties=species:S:1:pos:R:3 pbc="T T T"
Zr 1.056 1.845 0.000
Zr 5.006 3.261 0.000
Zr -1.056 1.845 5.543
Zr 2.894 3.261 5.543
U 3.950 0.000 2.771
U 0.000 5.106 2.771
F 0.000 0.000 0.000
F 4.747 1.880 -1.528
F 5.804 -0.770 1.452
F 4.747 -1.880 4.014
F 2.095 0.770 1.452
F 2.920 -2.864 5.543
F 2.920 2.864 0.000
F 2.095 -0.770 4.091
F 4.747 1.880 1.528
F 1.855 5.876 -1.452
F 0.797 3.226 1.528
F 0.000 0.000 5.543
F 3.153 1.880 4.014
F 2.095 -0.770 6.994
F -0.797 3.226 4.014
F 1.855 5.876 1.452
F 1.030 2.242 5.543
F 1.030 7.970 0.000
F 1.855 4.336 4.091
F -0.797 6.986 1.528
F -1.855 5.876 4.091
F -0.797 3.226 7.071
```

Record 4
Entry from Alexandria: ZrUF6 after structural relaxation (GGA-PBE).

Summary:
As for the crystal system: triclinic. The space group is P-1, No. 2. As for the uncorrected energy: -7.1962 eV/atom. As for the uncorrected formation energy: -3.313 eV per atom.

Geometry as extended XYZ:
```
8
Lattice="5.779 0.000 0.000 2.512 5.287 0.000 2.190 1.718 5.212" Properties=species:S:1:pos:R:3 pbc="T T T"
Zr 0.000 0.000 0.000
U 5.241 3.502 2.606
F 4.668 5.436 3.763
F 3.408 3.736 1.196
F 3.911 2.308 4.095
F 6.571 4.697 1.117
F 7.074 3.269 4.016
F 5.813 1.569 1.449
```